Record 1
# PmTmSiRh

A relaxed structure of PmTmSiRh (PBE-GGA, Alexandria).

Output
**Energy**: -6.32 eV per atom
**Total magnetization**: 0.00 μB/f.u.
**D(E_F)**: 0.852 states/eV per atom
**E_form (uncorrected)**: -817 meV/atom

Cell lengths 4.040, 5.673, 5.673 Å; angles 43.37, 90.00, 90.00 degrees
Sites, in units of the cell vectors:
Pm: 0.000 0.000 0.000
Tm: 0.500 0.282 0.282
Si: 0.500 0.581 0.581
Rh: 0.000 0.722 0.722


Record 2
# PmTmSiRh

A relaxed structure of PmTmSiRh (PBE-GGA, Alexandria).

Output
**Energy**: -6.12 eV per atom
**Total magnetization**: 0.00 μB/f.u.
**D(E_F)**: 0.487 states/eV per atom
**E_form (uncorrected)**: -617 meV/atom

Cell lengths 4.954, 4.954, 4.954 Å; angles 60.00, 60.00, 60.00 degrees
Sites, in units of the cell vectors:
Pm: 0.000 0.000 0.000
Tm: 0.500 0.500 0.500
Si: 0.250 0.250 0.250
Rh: 0.750 0.750 0.750


Record 3
# PmYSiRh

A relaxed structure of PmYSiRh (PBE-GGA, Alexandria).

Output
**Energy**: -6.80 eV per atom
**Total magnetization**: 0.00 μB/f.u.
**D(E_F)**: 0.785 states/eV per atom
**E_form (uncorrected)**: -807 meV/atom

Cell lengths 4.122, 5.637, 5.637 Å; angles 44.21, 90.00, 90.00 degrees
Sites, in units of the cell vectors:
Pm: 0.000 0.000 0.000
Y: 0.500 0.282 0.282
Si: 0.500 0.579 0.579
Rh: 0.000 0.718 0.718


Record 4
# PmYSiRh

A relaxed structure of PmYSiRh (PBE-GGA, Alexandria).

Output
**Energy**: -6.60 eV per atom
**Total magnetization**: 0.00 μB/f.u.
**D(E_F)**: 0.507 states/eV per atom
**E_form (uncorrected)**: -605 meV/atom

Cell lengths 4.995, 4.995, 4.995 Å; angles 60.00, 60.00, 60.00 degrees
Sites, in units of the cell vectors:
Pm: 0.000 0.000 0.000
Y: 0.500 0.500 0.500
Si: 0.750 0.750 0.750
Rh: 0.250 0.250 0.250


Record 5
# Pm2ZnSi2Rh5

A relaxed structure of Pm2ZnSi2Rh5 (PBE-GGA, Alexandria).

Output
**Energy**: -6.67 eV per atom
**Total magnetization**: 0.00 μB/f.u.
**D(E_F)**: 0.231 states/eV per atom
**E_form (uncorrected)**: -830 meV/atom

Cell lengths 9.884, 9.884, 3.456 Å; angles 90.00, 90.00, 90.00 degrees
Sites, in units of the cell vectors:
Pm: 0.175 0.325 0.000
Pm: 0.325 0.825 0.000
Pm: 0.675 0.175 0.000
Pm: 0.825 0.675 0.000
Zn: 0.000 0.000 0.000
Zn: 0.500 0.500 0.000
Si: 0.124 0.624 0.000
Si: 0.376 0.124 0.000
Si: 0.624 0.876 0.000
Si: 0.876 0.376 0.000
Rh: 0.000 0.500 0.500
Rh: 0.067 0.787 0.500
Rh: 0.213 0.067 0.500
Rh: 0.287 0.567 0.500
Rh: 0.433 0.287 0.500
Rh: 0.500 0.000 0.500
Rh: 0.567 0.713 0.500
Rh: 0.713 0.433 0.500
Rh: 0.787 0.933 0.500
Rh: 0.933 0.213 0.500


Record 6
# PmZnSi2Rh5

A relaxed structure of PmZnSi2Rh5 (PBE-GGA, Alexandria).

Output
**Energy**: -6.48 eV per atom
**Total magnetization**: 0.00 μB/f.u.
**D(E_F)**: 0.160 states/eV per atom
**E_form (uncorrected)**: -522 meV/atom

Cell lengths 4.499, 4.499, 7.277 Å; angles 90.00, 90.00, 90.00 degrees
Sites, in units of the cell vectors:
Pm: 0.000 0.000 0.000
Zn: 0.000 0.000 0.500
Si: 0.500 0.500 0.328
Si: 0.500 0.500 0.672
Rh: 0.000 0.500 0.284
Rh: 0.000 0.500 0.716
Rh: 0.500 0.000 0.284
Rh: 0.500 0.000 0.716
Rh: 0.500 0.500 0.000


Record 7
# Pm3ZnSi6Rh2

A relaxed structure of Pm3ZnSi6Rh2 (PBE-GGA, Alexandria).

Output
**Energy**: -5.61 eV per atom
**Total magnetization**: 0.00 μB/f.u.
**D(E_F)**: 0.473 states/eV per atom
**E_form (uncorrected)**: -384 meV/atom

Cell lengths 5.385, 5.385, 9.231 Å; angles 90.00, 90.00, 120.00 degrees
Sites, in units of the cell vectors:
Pm: 0.000 0.000 0.000
Pm: 0.333 0.667 0.583
Pm: 0.667 0.333 0.417
Zn: 0.000 0.000 0.500
Si: 0.169 0.339 0.275
Si: 0.169 0.831 0.275
Si: 0.339 0.169 0.725
Si: 0.661 0.831 0.275
Si: 0.831 0.169 0.725
Si: 0.831 0.661 0.725
Rh: 0.333 0.667 0.076
Rh: 0.667 0.333 0.924


Record 8
# PmZn2SiRh2

A relaxed structure of PmZn2SiRh2 (PBE-GGA, Alexandria).

Output
**Energy**: -5.01 eV per atom
**Total magnetization**: 0.00 μB/f.u.
**D(E_F)**: 1.008 states/eV per atom
**E_form (uncorrected)**: -439 meV/atom

Cell lengths 4.451, 4.451, 5.715 Å; angles 90.00, 90.00, 90.00 degrees
Sites, in units of the cell vectors:
Pm: 0.000 0.000 0.000
Zn: 0.500 0.500 0.228
Zn: 0.500 0.500 0.772
Si: 0.000 0.000 0.500
Rh: 0.000 0.500 0.500
Rh: 0.500 0.000 0.500